# 1
Crystalline Rb2AgAuI6 at its relaxed geometry. Source: OQMD, functional PBE.

Total DFT energy (no corrections), eV per atom: -2.400
Calculated density, g/cm3: 4.9
Crystal system: tetragonal
V, Å³/atom: 42.0

Cell lengths 8.2509, 8.2509, 12.3297 Å; angles 90.00, 90.00, 90.00 degrees
Space group I4/mmm (No. 139)
Inequivalent atoms, fractional coordinates:
Rb: 0.0000 0.5000 0.2500 (multiplicity 4)
Ag: 0.0000 0.0000 0.0000 (multiplicity 2)
Au: 0.0000 0.0000 0.5000 (multiplicity 2)
I: 0.0000 0.0000 0.2193 (multiplicity 4)
I: 0.2318 0.2318 0.5000 (multiplicity 8)

# 2
Crystalline PrNi2GeAs at its relaxed geometry. Source: OQMD, functional PBE.

Total DFT energy (no corrections), eV per atom: -5.839
Calculated density, g/cm3: 8.0
Crystal system: tetragonal
V, Å³/atom: 16.9

Cell lengths 4.1601, 4.1601, 9.7612 Å; angles 90.00, 90.00, 90.00 degrees
Space group P4/nmm (No. 129, origin choice 2)
Inequivalent atoms, fractional coordinates:
Pr: 0.2500 0.2500 0.2472 (multiplicity 2)
Ni: 0.2500 0.2500 0.6249 (multiplicity 2)
Ni: 0.2500 0.7500 0.0000 (multiplicity 2)
Ge: 0.2500 0.7500 0.5000 (multiplicity 2)
As: 0.2500 0.2500 0.8705 (multiplicity 2)

# 3
Crystalline DyClO at its relaxed geometry. Source: OQMD, functional PBE.

Total DFT energy (no corrections), eV per atom: -6.879
Calculated density, g/cm3: 7.0
Crystal system: tetragonal
V, Å³/atom: 17.0

Cell lengths 3.8529, 3.8529, 6.8642 Å; angles 90.00, 90.00, 90.00 degrees
Space group P4/nmm (No. 129, origin choice 2)
Inequivalent atoms, fractional coordinates:
Dy: 0.2500 0.2500 0.1664 (multiplicity 2)
Cl: 0.2500 0.2500 0.6326 (multiplicity 2)
O: 0.2500 0.7500 0.0000 (multiplicity 2)

# 4
Crystalline CsLuB at its relaxed geometry. Source: OQMD, functional PBE.

Total DFT energy (no corrections), eV per atom: -2.401
Calculated density, g/cm3: 6.4
Crystal system: cubic
V, Å³/atom: 27.4

Cell lengths 6.8998, 6.8998, 6.8998 Å; angles 90.00, 90.00, 90.00 degrees
Space group F-43m (No. 216)
Inequivalent atoms, fractional coordinates:
Cs: 0.0000 0.0000 0.0000 (multiplicity 4)
Lu: 0.2500 0.2500 0.7500 (multiplicity 4)
B: 0.0000 0.0000 0.5000 (multiplicity 4)

# 5
Crystalline BeNiHg at its relaxed geometry. Source: OQMD, functional PBE.

Total DFT energy (no corrections), eV per atom: -2.966
Calculated density, g/cm3: 10.4
Crystal system: cubic
V, Å³/atom: 14.3

Cell lengths 5.5526, 5.5526, 5.5526 Å; angles 90.00, 90.00, 90.00 degrees
Space group F-43m (No. 216)
Inequivalent atoms, fractional coordinates:
Be: 0.0000 0.0000 0.0000 (multiplicity 4)
Ni: 0.2500 0.2500 0.2500 (multiplicity 4)
Hg: 0.2500 0.2500 0.7500 (multiplicity 4)

# 6
Crystalline Ni15Sn at its relaxed geometry. Source: OQMD, functional PBE.

Total DFT energy (no corrections), eV per atom: -5.359
Calculated density, g/cm3: 5.7
Crystal system: monoclinic
V, Å³/atom: 18.2

Cell lengths 6.8588, 2.5454, 33.2942 Å; angles 90.00, 90.00, 90.00 degrees
Space group P2_1/m (No. 11)
Inequivalent atoms, fractional coordinates:
Ni: 0.1239 0.2500 0.3334 (multiplicity 2)
Ni: 0.1247 0.2500 0.2579 (multiplicity 2)
Ni: 0.1251 0.2500 0.4077 (multiplicity 2)
Ni: 0.1250 0.2500 0.4816 (multiplicity 2)
Ni: 0.1249 0.2500 0.5554 (multiplicity 2)
Ni: 0.1249 0.2500 0.6295 (multiplicity 2)
Ni: 0.1250 0.2500 0.7042 (multiplicity 2)
Ni: 0.3739 0.7500 0.6666 (multiplicity 2)
Ni: 0.3750 0.7500 0.2242 (multiplicity 2)
Ni: 0.3750 0.7500 0.2968 (multiplicity 2)
Ni: 0.3749 0.7500 0.3705 (multiplicity 2)
Ni: 0.3749 0.7500 0.4447 (multiplicity 2)
Ni: 0.3750 0.7500 0.5186 (multiplicity 2)
Ni: 0.3751 0.7500 0.5923 (multiplicity 2)
Ni: 0.3747 0.7500 0.7421 (multiplicity 2)
Sn: 0.1249 0.2500 0.7914 (multiplicity 2)

# 7
Crystalline Nd2Dy2I5N at its relaxed geometry. Source: OQMD, functional PBE.

Total DFT energy (no corrections), eV per atom: -4.777
Calculated density, g/cm3: 6.3
Crystal system: monoclinic
V, Å³/atom: 33.1

Cell lengths 19.4017, 3.9918, 8.7442 Å; angles 90.00, 102.51, 90.00 degrees
Space group C2/m (No. 12)
Inequivalent atoms, fractional coordinates:
Nd: 0.0007 0.0000 0.3065 (multiplicity 4)
Dy: 0.1230 0.5000 0.5603 (multiplicity 4)
I: 0.0000 0.5000 0.0000 (multiplicity 2)
I: 0.1654 0.0000 0.8306 (multiplicity 4)
I: 0.1683 0.0000 0.3318 (multiplicity 4)
N: 0.0000 0.5000 0.5000 (multiplicity 2)

# 8
Crystalline ZrSi at its relaxed geometry. Source: OQMD, functional PBE.

Total DFT energy (no corrections), eV per atom: -7.345
Calculated density, g/cm3: 5.3
Crystal system: orthorhombic
V, Å³/atom: 18.6

Cell lengths 5.0634, 14.3186, 5.1385 Å; angles 90.00, 90.00, 90.00 degrees
Space group Amm2 (No. 38)
Inequivalent atoms, fractional coordinates:
Zr: 0.0000 0.0000 0.0000 (multiplicity 2)
Zr: 0.0000 0.1918 0.9081 (multiplicity 4)
Zr: 0.5000 0.1822 0.3704 (multiplicity 4)
Si: 0.0000 0.1053 0.4434 (multiplicity 4)
Si: 0.5000 0.0000 0.4087 (multiplicity 2)
Si: 0.5000 0.1007 0.8681 (multiplicity 4)